# 1
# Li6Zn2Ir (GGA-PBE, optimized geometry)
# Energy above the most stable polymorph in this dataset = 0 meV/atom
# N(E_F) = 0.281 states/eV per atom
# Energy relative to the elements = -157 meV/atom
data_Li6Zn2Ir
_cell_length_a 12.9921
_cell_length_b 4.1028
_cell_length_c 5.5701
_cell_angle_alpha 90.00
_cell_angle_beta 111.93
_cell_angle_gamma 90.00
_symmetry_space_group_name_H-M 'C 1 2/m 1'
_symmetry_Int_Tables_number 12
_symmetry_space_group_name_Hall '-C 2y'
loop_
_atom_site_label
_atom_site_fract_x
_atom_site_fract_y
_atom_site_fract_z
_atom_site_occupancy
Li1 0.0980 0.0000 0.1544 1
Li2 0.1514 0.5000 0.4828 1
Li3 0.2057 0.0000 0.8185 1
Zn1 0.0543 0.5000 0.8133 1
Ir1 0.0000 0.0000 0.5000 1


# 2
# Li2ZnIr (GGA-PBE, optimized geometry)
# N(E_F) = 0.552 states/eV per atom
# Energy relative to the elements = -76 meV/atom
data_Li2ZnIr
_cell_length_a 2.8952
_cell_length_b 4.5392
_cell_length_c 9.1398
_cell_angle_alpha 90.00
_cell_angle_beta 90.00
_cell_angle_gamma 90.00
_symmetry_space_group_name_H-M 'C m m 2'
_symmetry_Int_Tables_number 35
_symmetry_space_group_name_Hall 'C 2 -2'
loop_
_atom_site_label
_atom_site_fract_x
_atom_site_fract_y
_atom_site_fract_z
_atom_site_occupancy
Li1 0.0000 0.0000 0.0000 1
Li2 0.0000 0.5000 0.2870 1
Zn1 0.0000 0.5000 0.7579 1
Ir1 0.0000 0.0000 0.5180 1


# 3
# Li3Zn2Ir3 (GGA-PBE, optimized geometry)
# N(E_F) = 0.597 states/eV per atom
# Energy relative to the elements = -128 meV/atom
data_Li3Zn2Ir3
_cell_length_a 6.8623
_cell_length_b 6.8623
_cell_length_c 7.8355
_cell_angle_alpha 90.00
_cell_angle_beta 90.00
_cell_angle_gamma 120.00
_symmetry_space_group_name_H-M 'R 3 2'
_symmetry_Int_Tables_number 155
_symmetry_space_group_name_Hall 'R 3 2"'
loop_
_atom_site_label
_atom_site_fract_x
_atom_site_fract_y
_atom_site_fract_z
_atom_site_occupancy
Li1 0.0000 0.2667 0.0000 1
Zn1 0.0000 0.0000 0.2451 1
Ir1 0.0000 0.7430 0.5000 1


# 4
# Li2Zn3Ir (GGA-PBE, optimized geometry)
# N(E_F) = 0.357 states/eV per atom
# Energy relative to the elements = -203 meV/atom
data_Li2Zn3Ir
_cell_length_a 5.3022
_cell_length_b 5.6018
_cell_length_c 6.4242
_cell_angle_alpha 74.16
_cell_angle_beta 85.89
_cell_angle_gamma 70.93
_symmetry_space_group_name_H-M 'P -1'
_symmetry_Int_Tables_number 2
_symmetry_space_group_name_Hall '-P 1'
loop_
_atom_site_label
_atom_site_fract_x
_atom_site_fract_y
_atom_site_fract_z
_atom_site_occupancy
Li1 0.0808 0.1149 0.1602 1
Li2 0.2513 0.5640 0.1855 1
Zn1 0.0687 0.2242 0.5232 1
Zn2 0.2769 0.4265 0.7921 1
Zn3 0.4220 0.9148 0.8486 1
Ir1 0.4236 0.7761 0.4976 1


# 5
# LiZnIr (GGA-PBE, optimized geometry)
# Energy above the most stable polymorph in this dataset = 41 meV/atom
# N(E_F) = 0.768 states/eV per atom
# Energy relative to the elements = -178 meV/atom
data_LiZnIr
_cell_length_a 2.6445
_cell_length_b 3.9817
_cell_length_c 7.8380
_cell_angle_alpha 90.00
_cell_angle_beta 90.00
_cell_angle_gamma 90.00
_symmetry_space_group_name_H-M 'I m m 2'
_symmetry_Int_Tables_number 44
_symmetry_space_group_name_Hall 'I 2 -2'
loop_
_atom_site_label
_atom_site_fract_x
_atom_site_fract_y
_atom_site_fract_z
_atom_site_occupancy
Li1 0.0000 0.0000 0.0000 1
Zn1 0.0000 0.0000 0.6737 1
Ir1 0.0000 0.0000 0.3319 1


# 6
# Li2ZnIr (GGA-PBE, optimized geometry)
# N(E_F) = 0.294 states/eV per atom
# Energy relative to the elements = -232 meV/atom
data_Li2ZnIr
_cell_length_a 9.4507
_cell_length_b 3.0627
_cell_length_c 4.1582
_cell_angle_alpha 90.00
_cell_angle_beta 115.48
_cell_angle_gamma 90.00
_symmetry_space_group_name_H-M 'C 1 2/m 1'
_symmetry_Int_Tables_number 12
_symmetry_space_group_name_Hall '-C 2y'
loop_
_atom_site_label
_atom_site_fract_x
_atom_site_fract_y
_atom_site_fract_z
_atom_site_occupancy
Li1 0.2495 0.0000 0.2488 1
Zn1 0.0000 0.0000 0.5000 1
Ir1 0.0000 0.5000 0.0000 1